No. 1
Below is a relaxed structure of NaGeBPt, with properties calculated at the PBE-GGA level.

Properties
Calculated volume in A^3/atom: 14.091
E in eV for the cell shown: -16.9

a = 4.304 Å, b = 4.304 Å, c = 4.304 Å
α = 60.00°, β = 60.00°, γ = 60.00°
Atoms (fractional coordinates):
Na1 0.000 0.000 0.000
Ge1 0.750 0.750 0.750
B1 0.250 0.250 0.250
Pt1 0.500 0.500 0.500

***

No. 2
Below is a relaxed structure of YTc2As2, with properties calculated at the PBE-GGA level.

Properties
Calculated volume in A^3/atom: 18.271
E in eV for the cell shown: -39.3

a = 5.814 Å, b = 5.814 Å, c = 5.814 Å
α = 136.67°, β = 136.67°, γ = 62.94°
Atoms (fractional coordinates):
Y1 0.000 0.000 0.000
Tc1 0.250 0.750 0.500
Tc2 0.750 0.250 0.500
As1 0.369 0.369 0.000
As2 0.631 0.631 0.000

***

No. 3
Below is a relaxed structure of SmSiHO4, with properties calculated at the PBE-GGA level.

Properties
Calculated volume in A^3/atom: 10.786
E in eV for the cell shown: -206.7

a = 9.019 Å, b = 6.921 Å, c = 4.838 Å
α = 90.00°, β = 90.00°, γ = 90.00°
Atoms (fractional coordinates):
Sm1 0.204 0.250 0.201
Sm2 0.296 0.750 0.701
Sm3 0.704 0.250 0.299
Sm4 0.796 0.750 0.799
Si1 0.043 0.750 0.225
Si2 0.457 0.250 0.725
Si3 0.543 0.750 0.275
Si4 0.957 0.250 0.775
H1 0.000 0.000 0.500
H2 0.000 0.500 0.500
H3 0.500 0.000 0.000
H4 0.500 0.500 0.000
O1 0.067 0.750 0.895
O2 0.113 0.557 0.381
O3 0.113 0.943 0.381
O4 0.135 0.250 0.725
O5 0.365 0.750 0.225
O6 0.387 0.057 0.881
O7 0.387 0.443 0.881
O8 0.433 0.250 0.395
O9 0.567 0.750 0.605
O10 0.613 0.557 0.119
O11 0.613 0.943 0.119
O12 0.635 0.250 0.775
O13 0.865 0.750 0.275
O14 0.887 0.057 0.619
O15 0.887 0.443 0.619
O16 0.933 0.250 0.105

***

No. 4
Below is a relaxed structure of BaMg2TlHg, with properties calculated at the PBE-GGA level.

Properties
Calculated volume in A^3/atom: 29.297
E in eV for the cell shown: -9.2

a = 7.281 Å, b = 7.281 Å, c = 7.281 Å
α = 141.81°, β = 141.81°, γ = 55.11°
Atoms (fractional coordinates):
Ba1 0.000 0.000 0.000
Mg1 0.254 0.754 0.500
Mg2 0.754 0.254 0.500
Tl1 0.617 0.617 0.000
Hg1 0.381 0.381 0.000

***

No. 5
Below is a relaxed structure of Li4Mg2GeAu, with properties calculated at the PBE-GGA level.

Properties
Calculated volume in A^3/atom: 16.571
E in eV for the cell shown: -21.7

a = 4.506 Å, b = 4.506 Å, c = 6.529 Å
α = 90.00°, β = 90.00°, γ = 90.00°
Atoms (fractional coordinates):
Li1 0.000 0.000 0.000
Li2 0.000 0.500 0.249
Li3 0.500 0.000 0.751
Li4 0.500 0.500 0.500
Mg1 0.000 0.500 0.746
Mg2 0.500 0.000 0.254
Ge1 0.500 0.500 0.000
Au1 0.000 0.000 0.500

***

No. 6
Below is a relaxed structure of SmNiB4, with properties calculated at the PBE-GGA level.

Properties
Calculated volume in A^3/atom: 10.812
E in eV for the cell shown: -37.2

a = 4.961 Å, b = 4.961 Å, c = 4.961 Å
α = 143.04°, β = 115.31°, γ = 76.90°
Atoms (fractional coordinates):
Sm1 0.000 0.000 0.000
Ni1 0.500 0.500 0.000
B1 0.076 0.748 0.329
B2 0.419 0.748 0.671
B3 0.581 0.252 0.329
B4 0.924 0.252 0.671

***

Please write out number 5 again, unchanged.
Below is a relaxed structure of Li4Mg2GeAu, with properties calculated at the PBE-GGA level.

Properties
Calculated volume in A^3/atom: 16.571
E in eV for the cell shown: -21.7

a = 4.506 Å, b = 4.506 Å, c = 6.529 Å
α = 90.00°, β = 90.00°, γ = 90.00°
Atoms (fractional coordinates):
Li1 0.000 0.000 0.000
Li2 0.000 0.500 0.249
Li3 0.500 0.000 0.751
Li4 0.500 0.500 0.500
Mg1 0.000 0.500 0.746
Mg2 0.500 0.000 0.254
Ge1 0.500 0.500 0.000
Au1 0.000 0.000 0.500

***

> Among the records above, which one has the highest E?

BaMg2TlHg

***

Repeat the second record exactly.
Below is a relaxed structure of YTc2As2, with properties calculated at the PBE-GGA level.

Properties
Calculated volume in A^3/atom: 18.271
E in eV for the cell shown: -39.3

a = 5.814 Å, b = 5.814 Å, c = 5.814 Å
α = 136.67°, β = 136.67°, γ = 62.94°
Atoms (fractional coordinates):
Y1 0.000 0.000 0.000
Tc1 0.250 0.750 0.500
Tc2 0.750 0.250 0.500
As1 0.369 0.369 0.000
As2 0.631 0.631 0.000